{"formula": "ReNiGePd", "functional": "PBE-GGA", "state": "optimized geometry", "lattice_angstrom": [[0.000, 3.060, 3.060], [3.060, 0.000, 3.060], [3.060, 3.060, 0.000]], "species": ["Re", "Ge", "Pd", "Ni"], "frac_coords": [[0.500, 0.500, 0.500], [0.000, 0.000, 0.000], [0.250, 0.250, 0.250], [0.750, 0.750, 0.750]], "final_energy_ev_per_atom": -6.550, "crystal_system": "cubic"}

=====

{"formula": "InIr15", "functional": "PBE-GGA", "state": "optimized geometry", "lattice_angstrom": [[-2.868, -1.213, -2.287], [3.589, -0.936, -4.006], [4.624, -33.502, 11.963]], "species": ["Ir", "Ir", "Ir", "In", "Ir", "Ir", "Ir", "Ir", "Ir", "Ir", "Ir", "In", "Ir", "Ir", "Ir", "Ir", "Ir", "Ir", "Ir", "Ir", "Ir", "Ir", "Ir", "Ir", "Ir", "Ir", "Ir", "Ir", "Ir", "Ir", "Ir", "Ir"], "frac_coords": [[0.750, 0.375, 0.596], [0.250, 0.125, 0.404], [0.750, 0.375, 0.215], [0.250, 0.125, 0.796], [0.250, 0.625, 0.634], [0.250, 0.619, 0.252], [0.750, 0.869, 0.748], [0.250, 0.125, 0.634], [0.750, 0.875, 0.442], [0.750, 0.875, 0.289], [0.250, 0.625, 0.558], [0.750, 0.875, 0.204], [0.250, 0.125, 0.558], [0.750, 0.375, 0.519], [0.750, 0.375, 0.290], [0.250, 0.625, 0.785], [0.750, 0.375, 0.672], [0.250, 0.625, 0.328], [0.250, 0.131, 0.252], [0.250, 0.625, 0.710], [0.750, 0.375, 0.366], [0.750, 0.381, 0.748], [0.750, 0.875, 0.366], [0.750, 0.875, 0.596], [0.250, 0.125, 0.328], [0.250, 0.625, 0.481], [0.250, 0.125, 0.711], [0.750, 0.875, 0.519], [0.250, 0.125, 0.481], [0.750, 0.875, 0.672], [0.250, 0.625, 0.404], [0.750, 0.375, 0.442]], "crystal_system": "monoclinic", "e_above_lowest_polymorph_ev_per_fu": 0.91}

=====

{"formula": "TbTmNi8B2", "functional": "PBE-GGA", "state": "optimized geometry", "lattice_angstrom": [[4.978, 0.000, 0.000], [-2.489, 4.311, 0.000], [0.000, 0.000, 6.962]], "species": ["Ni", "Tm", "B", "Ni", "Ni", "Ni", "Ni", "Ni", "Ni", "B", "Ni", "Tb"], "frac_coords": [[0.000, 0.500, 0.291], [0.000, 0.000, 0.000], [0.667, 0.333, 0.500], [0.500, 0.500, 0.291], [0.500, 0.500, 0.709], [0.500, 0.000, 0.709], [0.000, 0.500, 0.709], [0.500, 0.000, 0.291], [0.667, 0.333, 0.000], [0.333, 0.667, 0.500], [0.333, 0.667, 0.000], [0.000, 0.000, 0.500]], "crystal_system": "hexagonal", "e_above_lowest_polymorph_ev_per_fu": 0.16}

=====

{"formula": "LiDyB", "functional": "PBE-GGA", "state": "optimized geometry", "lattice_angstrom": [[-3.519, 0.583, 1.987], [-2.016, 3.527, -0.410], [-3.519, 0.112, -2.068]], "species": ["B", "Dy", "Li"], "frac_coords": [[0.250, 0.250, 0.250], [0.750, 0.750, 0.750], [0.000, 0.000, 0.000]], "crystal_system": "cubic", "e_above_lowest_polymorph_ev_per_fu": 1.15}

=====

{"formula": "Cu5Ag4", "functional": "PBE-GGA", "state": "optimized geometry", "lattice_angstrom": [[0.460, -0.698, 7.143], [-2.174, -1.447, 6.701], [1.945, -6.312, -0.897]], "species": ["Ag", "Cu", "Ag", "Cu", "Cu", "Cu", "Ag", "Ag", "Cu"], "frac_coords": [[0.213, 0.213, 0.325], [0.119, 0.119, 0.671], [0.456, 0.456, 0.684], [0.771, 0.771, 0.659], [0.657, 0.657, 0.982], [0.009, 0.009, 0.020], [0.328, 0.328, 0.985], [0.892, 0.892, 0.337], [0.555, 0.555, 0.336]], "delta_e_f_ev_per_atom": 0.09, "crystal_system": "monoclinic", "e_above_lowest_polymorph_ev_per_fu": 0.49}

=====

{"formula": "MgCoSiOs", "functional": "PBE-GGA", "state": "optimized geometry", "lattice_angstrom": [[0.000, 2.934, 2.934], [2.934, 0.000, 2.934], [2.934, 2.934, 0.000]], "species": ["Os", "Si", "Mg", "Co"], "frac_coords": [[0.250, 0.250, 0.250], [0.000, 0.000, 0.000], [0.500, 0.500, 0.500], [0.750, 0.750, 0.750]], "crystal_system": "cubic", "e_above_lowest_polymorph_ev_per_fu": 0.00}

=====

{"formula": "ZrBe9Nb2", "functional": "PBE-GGA", "state": "optimized geometry", "lattice_angstrom": [[-0.875, -7.554, 0.724], [3.121, -6.419, 2.720], [-0.848, -5.745, 4.962]], "species": ["Be", "Be", "Be", "Nb", "Be", "Nb", "Zr", "Be", "Be", "Be", "Be", "Be"], "frac_coords": [[0.500, 0.500, 0.500], [0.665, 0.665, 0.665], [0.414, 0.414, 0.923], [0.858, 0.858, 0.858], [0.414, 0.923, 0.414], [0.142, 0.142, 0.142], [0.000, 0.000, 0.000], [0.923, 0.414, 0.414], [0.077, 0.586, 0.586], [0.586, 0.077, 0.586], [0.335, 0.335, 0.335], [0.586, 0.586, 0.077]], "final_energy_ev_per_atom": -5.445, "crystal_system": "trigonal"}

=====

{"formula": "KNb3Se5", "functional": "PBE-GGA", "state": "optimized geometry", "lattice_angstrom": [[5.846, 0.000, 0.000], [-2.923, 5.063, 0.000], [0.000, 0.000, 7.801]], "species": ["Nb", "K", "Se", "Se", "Nb", "Se", "Se", "Se", "Nb"], "frac_coords": [[0.500, 0.500, 0.500], [0.000, 0.000, 0.000], [0.000, 0.000, 0.500], [0.667, 0.333, 0.238], [0.000, 0.500, 0.500], [0.333, 0.667, 0.762], [0.667, 0.333, 0.762], [0.333, 0.667, 0.238], [0.500, 0.000, 0.500]], "final_energy_ev_per_atom": -6.163, "crystal_system": "hexagonal"}

=====

{"formula": "HfBeSnOs", "functional": "PBE-GGA", "state": "optimized geometry", "lattice_angstrom": [[0.000, 3.198, 3.198], [3.198, 0.000, 3.198], [3.198, 3.198, 0.000]], "species": ["Hf", "Os", "Sn", "Be"], "frac_coords": [[0.000, 0.000, 0.000], [0.250, 0.250, 0.250], [0.500, 0.500, 0.500], [0.750, 0.750, 0.750]], "crystal_system": "cubic", "e_above_lowest_polymorph_ev_per_fu": 0.00}

=====

{"formula": "PmGaNi", "functional": "PBE-GGA", "state": "optimized geometry", "lattice_angstrom": [[0.000, 3.168, 3.168], [3.168, 0.000, 3.168], [3.168, 3.168, 0.000]], "species": ["Ni", "Ga", "Pm"], "frac_coords": [[0.000, 0.000, 0.000], [0.250, 0.250, 0.250], [0.750, 0.750, 0.750]], "crystal_system": "cubic", "e_above_lowest_polymorph_ev_per_fu": 0.63}

=====

{"formula": "GdHo2P3", "functional": "PBE-GGA", "state": "optimized geometry", "lattice_angstrom": [[4.007, 0.000, 0.000], [-2.003, 3.470, 0.000], [0.000, 0.000, 9.810]], "species": ["P", "P", "Gd", "Ho", "P", "Ho"], "frac_coords": [[0.333, 0.667, 0.330], [0.000, 0.000, 0.000], [0.000, 0.000, 0.500], [0.667, 0.333, 0.165], [0.667, 0.333, 0.670], [0.333, 0.667, 0.835]], "final_energy_ev_per_atom": -6.618, "crystal_system": "trigonal"}

=====

{"formula": "RbTbLu", "functional": "PBE-GGA", "state": "optimized geometry", "lattice_angstrom": [[-2.678, -0.445, 5.246], [-4.859, -3.311, 0.564], [0.220, -5.080, 3.007]], "species": ["Rb", "Tb", "Lu"], "frac_coords": [[0.250, 0.250, 0.250], [0.750, 0.750, 0.750], [0.000, 0.000, 0.000]], "final_energy_ev_per_atom": -2.131, "crystal_system": "cubic"}

=====

{"formula": "CoGe", "functional": "PBE-GGA", "state": "optimized geometry", "lattice_angstrom": [[-1.488, -2.058, 1.387], [0.939, -3.602, 1.701], [0.533, 1.367, 2.601]], "species": ["Co", "Ge"], "frac_coords": [[0.000, 0.000, 0.000], [0.000, 0.500, 0.500]], "final_energy_ev_per_atom": -5.860, "crystal_system": "tetragonal"}

=====

{"formula": "Tb2NdCu4Sn2Ge2", "functional": "PBE-GGA", "state": "optimized geometry", "lattice_angstrom": [[5.049, 0.858, 6.555], [-3.129, 1.201, 7.613], [0.804, -4.748, -6.783]], "species": ["Cu", "Ge", "Cu", "Cu", "Ge", "Tb", "Nd", "Sn", "Sn", "Cu", "Tb"], "frac_coords": [[0.011, 0.326, 0.686], [0.218, 0.218, 0.000], [0.640, 0.326, 0.314], [0.360, 0.674, 0.686], [0.782, 0.782, 0.000], [0.637, 0.137, 0.500], [0.000, 0.000, 0.000], [0.303, 0.500, 0.803], [0.697, 0.500, 0.197], [0.989, 0.674, 0.314], [0.363, 0.863, 0.500]], "crystal_system": "orthorhombic", "e_above_lowest_polymorph_ev_per_fu": 0.83}

=====

{"formula": "CuI", "functional": "PBE-GGA", "state": "optimized geometry", "lattice_angstrom": [[-0.672, -3.336, -1.960], [2.100, -0.061, 3.317], [-3.068, -0.517, 1.933]], "species": ["Cu", "I"], "frac_coords": [[0.667, 0.333, 0.750], [0.333, 0.667, 0.250]], "final_energy_ev_per_atom": -2.370, "crystal_system": "hexagonal"}

=====

{"formula": "Sc4CoSnC2", "functional": "PBE-GGA", "state": "optimized geometry", "lattice_angstrom": [[3.329, 0.000, 0.000], [-1.665, 2.883, 0.000], [0.000, 0.000, 13.896]], "species": ["C", "Sc", "Sc", "Co", "C", "Sn", "Sc", "Sc"], "frac_coords": [[0.333, 0.667, 0.231], [0.000, 0.000, 0.138], [0.667, 0.333, 0.684], [0.667, 0.333, 0.000], [0.333, 0.667, 0.769], [0.000, 0.000, 0.500], [0.000, 0.000, 0.862], [0.667, 0.333, 0.316]], "final_energy_ev_per_atom": -7.283, "crystal_system": "hexagonal"}

=====

{"formula": "FeReBi2", "functional": "PBE-GGA", "state": "optimized geometry", "lattice_angstrom": [[0.000, 3.422, 3.422], [3.422, 0.000, 3.422], [3.422, 3.422, 0.000]], "species": ["Re", "Bi", "Bi", "Fe"], "frac_coords": [[0.500, 0.500, 0.500], [0.750, 0.750, 0.750], [0.000, 0.000, 0.000], [0.250, 0.250, 0.250]], "final_energy_ev_per_atom": -6.005, "crystal_system": "cubic"}

=====

{"formula": "Co7Sn", "functional": "PBE-GGA", "state": "optimized geometry", "lattice_angstrom": [[2.641, 0.000, 0.000], [0.000, 2.641, 0.000], [0.000, 0.000, 37.733]], "species": ["Sn", "Co", "Co", "Co", "Co", "Co", "Co", "Co", "Co", "Sn", "Co", "Co", "Co", "Co", "Co", "Co"], "frac_coords": [[0.000, 0.500, 0.172], [0.000, 0.500, 0.605], [0.000, 0.500, 0.773], [0.000, 0.500, 0.521], [0.500, 0.000, 0.227], [0.500, 0.000, 0.732], [0.000, 0.500, 0.437], [0.500, 0.000, 0.395], [0.000, 0.500, 0.353], [0.500, 0.000, 0.828], [0.000, 0.500, 0.690], [0.000, 0.500, 0.268], [0.500, 0.000, 0.563], [0.500, 0.000, 0.479], [0.500, 0.000, 0.647], [0.500, 0.000, 0.310]], "crystal_system": "tetragonal", "e_above_lowest_polymorph_ev_per_fu": 0.85}

=====

{"formula": "Gd3Cd3PdAu2", "functional": "PBE-GGA", "state": "optimized geometry", "lattice_angstrom": [[7.737, 0.000, 0.000], [-3.869, 6.701, 0.000], [0.000, 0.000, 3.968]], "species": ["Cd", "Gd", "Cd", "Au", "Gd", "Au", "Pd", "Cd", "Gd"], "frac_coords": [[0.000, 0.252, 0.500], [0.597, 0.000, 0.000], [0.748, 0.748, 0.500], [0.667, 0.333, 0.500], [0.000, 0.597, 0.000], [0.333, 0.667, 0.500], [0.000, 0.000, 0.000], [0.252, 0.000, 0.500], [0.403, 0.403, 0.000]], "delta_e_f_ev_per_atom": -0.68, "crystal_system": "hexagonal"}

=====

{"formula": "TbCuMo", "functional": "PBE-GGA", "state": "optimized geometry", "lattice_angstrom": [[-2.421, -3.686, -0.915], [-1.312, -2.720, 3.342], [-4.344, -0.190, 1.175]], "species": ["Tb", "Cu", "Mo"], "frac_coords": [[0.750, 0.750, 0.750], [0.250, 0.250, 0.250], [0.000, 0.000, 0.000]], "delta_e_f_ev_per_atom": 1.02, "crystal_system": "cubic"}